# CaLa3O

CaLa3O after structural relaxation (PBE, Alexandria via LeMat-Bulk).

CIF file:
```
data_CaLa3O
_chemical_formula_sum 'Ca1 La3 O1'
_cell_length_a 5.2362
_cell_length_b 5.2362
_cell_length_c 5.2362
_cell_angle_alpha 90.00
_cell_angle_beta 90.00
_cell_angle_gamma 90.00
_symmetry_space_group_name_H-M 'P m -3 m'
_symmetry_Int_Tables_number 221
_symmetry_space_group_name_Hall '-P 4 2 3'
loop_
_atom_site_label
_atom_site_type_symbol
_atom_site_fract_x
_atom_site_fract_y
_atom_site_fract_z
Ca1 Ca 0.0000 0.0000 0.0000
La1 La 0.0000 0.5000 0.5000
O1 O 0.5000 0.5000 0.5000
```

Computed properties:
- Energy above the lowest structure with this stoichiometry: 0 meV/atom

***

# Pm2SiBr

Pm2SiBr after structural relaxation (PBE, Alexandria via LeMat-Bulk).

CIF file:
```
data_Pm2SiBr
_chemical_formula_sum 'Pm8 Si4 Br4'
_cell_length_a 7.3753
_cell_length_b 7.3753
_cell_length_c 7.3753
_cell_angle_alpha 90.00
_cell_angle_beta 90.00
_cell_angle_gamma 90.00
_symmetry_space_group_name_H-M 'F m -3 m'
_symmetry_Int_Tables_number 225
_symmetry_space_group_name_Hall '-F 4 2 3'
loop_
_atom_site_label
_atom_site_type_symbol
_atom_site_fract_x
_atom_site_fract_y
_atom_site_fract_z
Pm1 Pm 0.2500 0.2500 0.2500
Si1 Si 0.0000 0.0000 0.0000
Br1 Br 0.0000 0.0000 0.5000
```

Computed properties:
- Energy above the lowest structure with this stoichiometry: 280 meV/atom

***

# AlNiRh2

AlNiRh2 after structural relaxation (PBE, Alexandria via LeMat-Bulk).

CIF file:
```
data_AlNiRh2
_chemical_formula_sum 'Al1 Ni1 Rh2'
_cell_length_a 2.8336
_cell_length_b 2.8336
_cell_length_c 6.5840
_cell_angle_alpha 90.00
_cell_angle_beta 90.00
_cell_angle_gamma 90.00
_symmetry_space_group_name_H-M 'P 4 m m'
_symmetry_Int_Tables_number 99
loop_
_symmetry_equiv_pos_as_xyz
'x,y,z'
'-y,x,z'
'-x,-y,z'
'y,-x,z'
'-x,y,z'
'y,x,z'
'x,-y,z'
'-y,-x,z'
loop_
_atom_site_label
_atom_site_type_symbol
_atom_site_fract_x
_atom_site_fract_y
_atom_site_fract_z
Al1 Al 0.0000 0.0000 0.0000
Ni1 Ni 0.5000 0.5000 0.2158
Rh1 Rh 0.0000 0.0000 0.4711
Rh2 Rh 0.5000 0.5000 0.7579
```

Computed properties:
- ΔH_f (0 K): -0.36 eV per atom

***

# ZnIrCl2

ZnIrCl2 after structural relaxation (PBE, Alexandria via LeMat-Bulk).

CIF file:
```
data_ZnIrCl2
_chemical_formula_sum 'Zn1 Ir1 Cl2'
_cell_length_a 3.0357
_cell_length_b 3.0357
_cell_length_c 8.3649
_cell_angle_alpha 90.00
_cell_angle_beta 90.00
_cell_angle_gamma 90.00
_symmetry_space_group_name_H-M 'P 4 m m'
_symmetry_Int_Tables_number 99
loop_
_symmetry_equiv_pos_as_xyz
'x,y,z'
'-y,x,z'
'-x,-y,z'
'y,-x,z'
'-x,y,z'
'y,x,z'
'x,-y,z'
'-y,-x,z'
loop_
_atom_site_label
_atom_site_type_symbol
_atom_site_fract_x
_atom_site_fract_y
_atom_site_fract_z
Zn1 Zn 0.0000 0.0000 0.0000
Ir1 Ir 0.5000 0.5000 0.7935
Cl1 Cl 0.0000 0.0000 0.6002
Cl2 Cl 0.5000 0.5000 0.1826
```

Computed properties:
- Energy above the lowest structure with this stoichiometry: 372 meV/atom

***

E for every record listed, in sequence, given in eV/atom: -5.428 -4.947 -6.418 -3.295.
Theoretical density for every record listed, in sequence, given in g cm⁻³: 5.47 6.59 9.16 7.08.